ErMg5Cd2, relaxed, DFT PBE-GGA; uncorrected energy = -15.36 eV/cell; space group = Immm; DFT formation energy = -0.12 eV per atom
1.0
3.3613 0.0000 0.0000
1.6806 7.5007 0.0345
1.6806 1.4120 7.3667
Mg Cd Er
5 2 1
direct
0.0000 0.5000 0.5000
0.6329 0.5930 0.1413
0.3671 0.4070 0.8587
0.3671 0.8587 0.4070
0.6329 0.1413 0.5930
0.2571 0.2429 0.2429
0.7429 0.7571 0.7571
0.0000 0.0000 0.0000